Record 1
{"formula": "LiCuSiF6", "functional": "PBE-GGA", "state": "relaxed", "raw_formation_energy_mev_per_atom": -2600.4, "sg": "P-31c (163)", "cell": [[-1.682, 1.722, 4.423], [-3.082, -0.154, -3.979], [-2.620, -8.631, 2.364]], "species": ["F", "F", "F", "F", "F", "F", "F", "F", "F", "F", "F", "F", "Si", "Si", "Li", "Li", "Cu", "Cu"], "frac_coords": [[0.609, 0.656, 0.645], [0.391, 0.047, 0.145], [0.047, 0.391, 0.645], [0.656, 0.609, 0.145], [0.656, 0.047, 0.355], [0.953, 0.609, 0.355], [0.609, 0.953, 0.855], [0.047, 0.656, 0.855], [0.344, 0.953, 0.645], [0.953, 0.344, 0.145], [0.391, 0.344, 0.355], [0.344, 0.391, 0.855], [0.667, 0.333, 0.250], [0.333, 0.667, 0.750], [0.667, 0.333, 0.750], [0.333, 0.667, 0.250], [0.000, 0.000, 0.000], [0.000, 0.000, 0.500]]}

Record 2
{"formula": "PmHoSc2As4", "functional": "PBE-GGA", "state": "relaxed", "sg": "P2/m (10)", "delta_e_f_ev_per_atom": -1.430, "cell": [[4.036, 0.000, 0.000], [0.000, 6.959, -0.127], [0.000, 2.457, 6.538]], "species": ["Ho", "Sc", "Sc", "As", "As", "As", "As", "Pm"], "frac_coords": [[0.000, 0.500, 0.500], [0.500, 0.000, 0.500], [0.000, 0.000, 0.000], [0.500, 0.233, 0.751], [0.000, 0.230, 0.261], [0.500, 0.767, 0.249], [0.000, 0.770, 0.739], [0.500, 0.500, 0.000]]}

Record 3
{"formula": "LaCe2NdBi5", "functional": "PBE-GGA", "state": "relaxed", "sg": "P4/mmm (123)", "delta_e_f_ev_per_atom": -0.066, "cell": [[-4.719, 2.345, 1.814], [-2.477, -1.246, -4.835], [-3.563, -10.720, 4.588]], "species": ["Bi", "Bi", "Bi", "Bi", "Bi", "Ce", "Ce", "La", "Nd"], "frac_coords": [[0.500, 0.000, 0.500], [0.000, 0.000, 0.249], [0.000, 0.500, 0.500], [0.500, 0.500, 0.000], [0.000, 0.000, 0.751], [0.500, 0.500, 0.721], [0.500, 0.500, 0.279], [0.000, 0.000, 0.000], [0.000, 0.000, 0.500]]}

Record 4
{"formula": "Ti4ZnPd7", "functional": "PBE-GGA", "state": "relaxed", "sg": "C2/m (12)", "delta_e_f_ev_per_atom": -0.342, "cell": [[4.702, 0.000, 0.000], [2.351, 8.185, 0.128], [2.351, 0.442, 5.234]], "species": ["Pd", "Pd", "Pd", "Pd", "Pd", "Pd", "Pd", "Ti", "Ti", "Ti", "Ti", "Zn"], "frac_coords": [[0.638, 0.465, 0.260], [0.072, 0.667, 0.189], [0.362, 0.535, 0.740], [0.928, 0.333, 0.811], [0.500, 0.000, 0.000], [0.208, 0.089, 0.494], [0.792, 0.911, 0.506], [0.586, 0.224, 0.604], [0.414, 0.776, 0.396], [0.751, 0.666, 0.833], [0.249, 0.334, 0.167], [0.000, 0.000, 0.000]]}

Record 5
{"formula": "InTcPt2", "functional": "PBE-GGA", "state": "relaxed", "sg": "Cm (8)", "delta_e_f_ev_per_atom": -0.113, "cell": [[4.845, 0.007, -0.007], [4.005, 2.728, -0.007], [0.876, 0.271, 5.000]], "species": ["Pt", "Pt", "In", "Tc"], "frac_coords": [[0.755, 0.755, 0.726], [0.998, 0.998, 0.001], [0.247, 0.247, 0.237], [0.500, 0.500, 0.537]]}

Record 6
{"formula": "MnV2Rh6", "functional": "PBE-GGA", "state": "relaxed", "sg": "Immm (71)", "delta_e_f_ev_per_atom": -0.012, "cell": [[-1.647, 1.891, -3.222], [-5.055, 0.212, 2.709], [4.840, 4.271, 2.616]], "species": ["Rh", "Rh", "Rh", "Rh", "Rh", "Rh", "V", "V", "Mn"], "frac_coords": [[0.167, 0.419, 0.334], [0.167, 0.915, 0.334], [0.500, 0.751, 0.000], [0.833, 0.581, 0.666], [0.833, 0.085, 0.666], [0.500, 0.249, 0.000], [0.334, 0.334, 0.668], [0.666, 0.666, 0.332], [0.000, 0.000, 0.000]]}

Record 7
{"formula": "Pr3SmO6", "functional": "PBE-GGA", "state": "relaxed", "raw_formation_energy_mev_per_atom": -3338.4, "sg": "R-3 (148)", "cell": [[-3.724, 4.999, 3.342], [0.122, -4.068, 5.785], [6.117, 3.074, 1.780]], "species": ["O", "O", "O", "O", "O", "O", "O", "O", "O", "O", "O", "O", "Pr", "Pr", "Pr", "Pr", "Pr", "Pr", "Sm", "Sm"], "frac_coords": [[0.400, 0.186, 0.530], [0.933, 0.688, 0.094], [0.094, 0.933, 0.688], [0.906, 0.067, 0.312], [0.470, 0.600, 0.814], [0.312, 0.906, 0.067], [0.688, 0.094, 0.933], [0.530, 0.400, 0.186], [0.600, 0.814, 0.470], [0.814, 0.470, 0.600], [0.186, 0.530, 0.400], [0.067, 0.312, 0.906], [0.062, 0.252, 0.555], [0.555, 0.062, 0.252], [0.938, 0.748, 0.445], [0.445, 0.938, 0.748], [0.252, 0.555, 0.062], [0.748, 0.445, 0.938], [0.000, 0.000, 0.000], [0.500, 0.500, 0.500]]}

Record 8
{"formula": "FeAu2Se", "functional": "PBE-GGA", "state": "relaxed", "raw_formation_energy_mev_per_atom": 191.1, "sg": "Immm (71)", "cell": [[6.750, 0.018, -0.004], [4.922, 4.619, 0.004], [-5.554, -3.028, 2.355]], "species": ["Fe", "Se", "Au", "Au"], "frac_coords": [[0.750, 0.250, 0.500], [0.250, 0.750, 0.500], [0.940, 0.940, 0.000], [0.560, 0.560, 0.000]]}